(1)
The following is a PBE calculation of an optimized crystal structure of La2CoHg, from Alexandria.

a b c (Å): 5.8681 4.1504 8.7875
angles (deg): 90.00 92.44 90.00
Positions (direct):
La1 0.1752 0.2500 0.2641
La2 0.3150 0.2500 0.8655
La3 0.6850 0.7500 0.1345
La4 0.8248 0.7500 0.7359
Co1 0.1647 0.7500 0.0470
Co2 0.8353 0.2500 0.9530
Hg1 0.3095 0.7500 0.5559
Hg2 0.6905 0.2500 0.4441

## Properties
Crystal system: monoclinic
ΔH_f (0 K) in eV per atom: -0.280


(2)
The following is a PBE calculation of an optimized crystal structure of CaAlPdRh, from Alexandria.

a b c (Å): 6.4791 6.4791 6.4791
angles (deg): 90.00 90.00 90.00
Positions (direct):
Ca1 0.0000 0.0000 0.0000
Ca2 0.0000 0.5000 0.5000
Ca3 0.5000 0.0000 0.5000
Ca4 0.5000 0.5000 0.0000
Al1 0.0000 0.0000 0.5000
Al2 0.0000 0.5000 0.0000
Al3 0.5000 0.0000 0.0000
Al4 0.5000 0.5000 0.5000
Pd1 0.2500 0.2500 0.7500
Pd2 0.2500 0.7500 0.2500
Pd3 0.7500 0.2500 0.2500
Pd4 0.7500 0.7500 0.7500
Rh1 0.2500 0.2500 0.2500
Rh2 0.2500 0.7500 0.7500
Rh3 0.7500 0.2500 0.7500
Rh4 0.7500 0.7500 0.2500

## Properties
Crystal system: cubic
ΔH_f (0 K) in eV per atom: -0.614


(3)
The following is a PBE calculation of an optimized crystal structure of CsMgAuF6, from Alexandria.

a b c (Å): 5.6033 5.6415 6.4528
angles (deg): 90.92 91.20 115.73
Positions (direct):
Cs1 0.0000 0.0000 0.0000
Mg1 0.3252 0.6787 0.5013
Au1 0.6665 0.3351 0.5004
F1 0.0831 0.6470 0.2821
F2 0.3591 0.9172 0.7219
F3 0.3600 0.3496 0.3515
F4 0.6319 0.0075 0.3524
F5 0.6537 0.6402 0.6483
F6 0.9966 0.3700 0.6495

## Properties
Crystal system: triclinic
Uncorrected energy in eV/atom: -4.118


(4)
The following is a PBE calculation of an optimized crystal structure of AcMgGaSn, from Alexandria.

a b c (Å): 7.6021 7.6021 7.6021
angles (deg): 90.00 90.00 90.00
Positions (direct):
Ac1 0.0000 0.0000 0.0000
Ac2 0.0000 0.5000 0.5000
Ac3 0.5000 0.0000 0.5000
Ac4 0.5000 0.5000 0.0000
Mg1 0.0000 0.0000 0.5000
Mg2 0.0000 0.5000 0.0000
Mg3 0.5000 0.0000 0.0000
Mg4 0.5000 0.5000 0.5000
Ga1 0.2500 0.2500 0.2500
Ga2 0.2500 0.7500 0.7500
Ga3 0.7500 0.2500 0.7500
Ga4 0.7500 0.7500 0.2500
Sn1 0.2500 0.2500 0.7500
Sn2 0.2500 0.7500 0.2500
Sn3 0.7500 0.2500 0.2500
Sn4 0.7500 0.7500 0.7500

## Properties
Crystal system: cubic
ΔH_f (0 K) in eV per atom: -0.338


(5)
The following is a PBE calculation of an optimized crystal structure of CdAu, from Alexandria.

a b c (Å): 3.0625 3.0625 9.5517
angles (deg): 90.00 90.00 120.00
Positions (direct):
Cd1 0.0000 0.0000 0.0000
Cd2 0.0000 0.0000 0.5000
Au1 0.3333 0.6667 0.2500
Au2 0.6667 0.3333 0.7500

## Properties
Crystal system: hexagonal
ΔH_f (0 K) in eV per atom: -0.097


(6)
The following is a PBE calculation of an optimized crystal structure of BaSbPd2, from Alexandria.

a b c (Å): 6.6166 7.6981 4.4544
angles (deg): 90.00 90.00 90.00
Positions (direct):
Ba1 0.0000 0.0000 0.0000
Ba2 0.5000 0.5000 0.0000
Sb1 0.0000 0.5000 0.0000
Sb2 0.5000 0.0000 0.0000
Pd1 0.0000 0.3152 0.5000
Pd2 0.0000 0.6848 0.5000
Pd3 0.5000 0.1848 0.5000
Pd4 0.5000 0.8152 0.5000

## Properties
Crystal system: orthorhombic
Uncorrected energy in eV/atom: -4.416


Copy entry 2 word for word.
The following is a PBE calculation of an optimized crystal structure of CaAlPdRh, from Alexandria.

a b c (Å): 6.4791 6.4791 6.4791
angles (deg): 90.00 90.00 90.00
Positions (direct):
Ca1 0.0000 0.0000 0.0000
Ca2 0.0000 0.5000 0.5000
Ca3 0.5000 0.0000 0.5000
Ca4 0.5000 0.5000 0.0000
Al1 0.0000 0.0000 0.5000
Al2 0.0000 0.5000 0.0000
Al3 0.5000 0.0000 0.0000
Al4 0.5000 0.5000 0.5000
Pd1 0.2500 0.2500 0.7500
Pd2 0.2500 0.7500 0.2500
Pd3 0.7500 0.2500 0.2500
Pd4 0.7500 0.7500 0.7500
Rh1 0.2500 0.2500 0.2500
Rh2 0.2500 0.7500 0.7500
Rh3 0.7500 0.2500 0.7500
Rh4 0.7500 0.7500 0.2500

## Properties
Crystal system: cubic
ΔH_f (0 K) in eV per atom: -0.614